20
Lattice="5.1988 0.0000 0.0000 0.0000 8.2039 0.0000 0.0000 0.0000 5.2239" Properties=species:S:1:pos:R:3 comment="AlMoO3 (PBE+U, relaxed)" crystal_system=orthorhombic final_energy_ev_per_atom=-7.28 pbc="T T T"
Al 0.0128 2.0510 0.1415
Al 2.5866 6.1529 2.7535
Al 2.6122 2.0510 2.4704
Al 5.1860 6.1529 5.0824
Mo 0.0000 0.0000 2.6120
Mo 0.0000 4.1019 2.6120
Mo 2.5994 0.0000 0.0000
Mo 2.5994 4.1019 0.0000
O 0.7689 0.7291 4.4587
O 0.7689 3.3728 4.4587
O 0.8217 2.0510 1.8526
O 1.7777 6.1529 4.4646
O 1.8306 4.8311 1.8467
O 1.8306 7.4748 1.8467
O 3.3683 0.7291 3.3772
O 3.3683 3.3728 3.3772
O 3.4212 2.0510 0.7593
O 4.3771 6.1529 3.3713
O 4.4300 4.8311 0.7652
O 4.4300 7.4748 0.7652